Material: LiLa2Te
Method: DFT, meta-GGA SCAN
State: PBEsol geometry

Computed properties:
VASP energy: -32.124 eV/atom
M_tot: 0.425 μB per cell
space-group type: No. 99
uncorrected formation energy: -0.662 eV/atom

Structure (POSCAR):
```
LiLa2Te
1.0
4.2367 0.0000 0.0000
0.0000 4.2367 0.0000
0.0000 0.0000 6.6290
Li La Te
1 2 1
Direct
0.0000 0.0000 0.0000
0.0000 0.0000 0.4657
0.5000 0.5000 0.7690
0.5000 0.5000 0.2703
```